# 1
Here is crystalline MgCdTeO at its relaxed geometry from the Open Quantum Materials Database. Energies are from PBE-GGA.

## Properties
* calculated density: 5.382 g/cm³
* V: 691.94 Å³/cell
* DFT total energy: -3.56 eV/atom

```
data_MgCdTeO
_cell_length_a 6.844
_cell_length_b 7.543
_cell_length_c 13.405
_cell_angle_alpha 90.00
_cell_angle_beta 90.00
_cell_angle_gamma 90.00
_space_group_name_H-M_alt 'P b c a'
_space_group_IT_number 61
_space_group_name_Hall '-P 2ac 2ab'
loop_
_atom_site_label
_atom_site_type_symbol
_atom_site_fract_x
_atom_site_fract_y
_atom_site_fract_z
Mg1 Mg 0.074 0.235 0.059
Cd1 Cd 0.088 0.568 0.230
Te1 Te 0.230 0.009 0.427
O1 O 0.153 0.243 0.196
```

=====

# 2
Here is crystalline YZrPb at its relaxed geometry from the Open Quantum Materials Database. Energies are from PBE-GGA.

## Properties
* calculated density: 7.969 g/cm³
* V: 161.42 Å³/cell
* DFT total energy: -6.67 eV/atom

```
data_YZrPb
_cell_length_a 4.403
_cell_length_b 4.403
_cell_length_c 8.328
_cell_angle_alpha 90.00
_cell_angle_beta 90.00
_cell_angle_gamma 90.00
_space_group_name_H-M_alt 'P 4/n m m'
_space_group_IT_number 129
loop_
_space_group_symop_operation_xyz
'x,y,z'
'-x,-y,-z'
'-y+1/2,x,z'
'y+1/2,-x,-z'
'-x+1/2,-y+1/2,z'
'x+1/2,y+1/2,-z'
'y,-x+1/2,z'
'-y,x+1/2,-z'
'x+1/2,-y,-z'
'-x+1/2,y,z'
'-y,-x,-z'
'y,x,z'
'-x,y+1/2,-z'
'x,-y+1/2,z'
'y+1/2,x+1/2,-z'
'-y+1/2,-x+1/2,z'
loop_
_atom_site_label
_atom_site_type_symbol
_atom_site_fract_x
_atom_site_fract_y
_atom_site_fract_z
Y1 Y 0.250 0.250 0.162
Zr1 Zr 0.250 0.750 0.500
Pb1 Pb 0.250 0.250 0.772
```

=====

# 3
Here is crystalline GdAgNO at its relaxed geometry from the Open Quantum Materials Database. Energies are from PBE-GGA.

## Properties
* calculated density: 8.871 g/cm³
* V: 110.48 Å³/cell
* DFT total energy: -6.23 eV/atom

```
data_GdAgNO
_cell_length_a 4.920
_cell_length_b 4.920
_cell_length_c 4.564
_cell_angle_alpha 90.00
_cell_angle_beta 90.00
_cell_angle_gamma 90.00
_space_group_name_H-M_alt 'P 4/n m m'
_space_group_IT_number 129
loop_
_space_group_symop_operation_xyz
'x,y,z'
'-x,-y,-z'
'-y+1/2,x,z'
'y+1/2,-x,-z'
'-x+1/2,-y+1/2,z'
'x+1/2,y+1/2,-z'
'y,-x+1/2,z'
'-y,x+1/2,-z'
'x+1/2,-y,-z'
'-x+1/2,y,z'
'-y,-x,-z'
'y,x,z'
'-x,y+1/2,-z'
'x,-y+1/2,z'
'y+1/2,x+1/2,-z'
'-y+1/2,-x+1/2,z'
loop_
_atom_site_label
_atom_site_type_symbol
_atom_site_fract_x
_atom_site_fract_y
_atom_site_fract_z
Gd1 Gd 0.250 0.750 0.000
Ag1 Ag 0.250 0.250 0.499
N1 N 0.250 0.250 0.999
O1 O 0.250 0.750 0.500
```

=====

# 4
Here is crystalline ZnO8F2 at its relaxed geometry from the Open Quantum Materials Database. Energies are from PBE-GGA.

## Properties
* calculated density: 3.350 g/cm³
* V: 344.08 Å³/cell
* DFT total energy: -3.18 eV/atom

```
data_ZnO8F2
_cell_length_a 4.4699
_cell_length_b 4.4699
_cell_length_c 19.8859
_cell_angle_alpha 90.00
_cell_angle_beta 90.00
_cell_angle_gamma 120.00
_space_group_name_H-M_alt 'R -3'
_space_group_IT_number 148
_space_group_name_Hall '-R 3'
loop_
_atom_site_label
_atom_site_type_symbol
_atom_site_fract_x
_atom_site_fract_y
_atom_site_fract_z
Zn1 Zn 0.0000 0.0000 0.0000
O1 O 0.0000 0.0000 0.1626
O2 O 0.0983 0.5381 0.2693
F1 F 0.0000 0.0000 0.2323
```

=====

# 5
Here is crystalline SrNbNi at its relaxed geometry from the Open Quantum Materials Database. Energies are from PBE-GGA.

## Properties
* calculated density: 5.105 g/cm³
* V: 311.25 Å³/cell
* DFT total energy: -3.94 eV/atom

```
data_SrNbNi
_cell_length_a 6.777
_cell_length_b 6.777
_cell_length_c 6.777
_cell_angle_alpha 90.00
_cell_angle_beta 90.00
_cell_angle_gamma 90.00
_space_group_name_H-M_alt 'F -4 3 m'
_space_group_IT_number 216
_space_group_name_Hall 'F -4 2 3'
loop_
_atom_site_label
_atom_site_type_symbol
_atom_site_fract_x
_atom_site_fract_y
_atom_site_fract_z
Sr1 Sr 0.000 0.000 0.000
Nb1 Nb 0.250 0.250 0.750
Ni1 Ni 0.250 0.250 0.250
```

=====

# 6
Here is crystalline LuFeSbIr at its relaxed geometry from the Open Quantum Materials Database. Energies are from PBE-GGA.

## Properties
* calculated density: 13.265 g/cm³
* V: 272.79 Å³/cell
* DFT total energy: -6.76 eV/atom

```
data_LuFeSbIr
_cell_length_a 6.485
_cell_length_b 6.485
_cell_length_c 6.485
_cell_angle_alpha 90.00
_cell_angle_beta 90.00
_cell_angle_gamma 90.00
_space_group_name_H-M_alt 'F -4 3 m'
_space_group_IT_number 216
_space_group_name_Hall 'F -4 2 3'
loop_
_atom_site_label
_atom_site_type_symbol
_atom_site_fract_x
_atom_site_fract_y
_atom_site_fract_z
Lu1 Lu 0.000 0.000 0.000
Fe1 Fe 0.250 0.250 0.750
Sb1 Sb 0.000 0.000 0.500
Ir1 Ir 0.250 0.250 0.250
```

=====

# 7
Here is crystalline CoHgGeSe3 at its relaxed geometry from the Open Quantum Materials Database. Energies are from PBE-GGA.

## Properties
* calculated density: 6.358 g/cm³
* V: 594.45 Å³/cell
* DFT total energy: -3.75 eV/atom

```
data_CoHgGeSe3
_cell_length_a 3.575
_cell_length_b 13.694
_cell_length_c 12.144
_cell_angle_alpha 90.00
_cell_angle_beta 90.00
_cell_angle_gamma 90.00
_space_group_name_H-M_alt 'C m c m'
_space_group_IT_number 63
_space_group_name_Hall '-C 2c 2'
loop_
_atom_site_label
_atom_site_type_symbol
_atom_site_fract_x
_atom_site_fract_y
_atom_site_fract_z
Co1 Co 0.000 0.114 0.250
Hg1 Hg 0.000 0.500 0.000
Ge1 Ge 0.000 0.192 0.750
Se1 Se 0.000 0.228 0.114
Se2 Se 0.000 0.486 0.750
```

=====

# 8
Here is crystalline Pr2CuGe at its relaxed geometry from the Open Quantum Materials Database. Energies are from PBE-GGA.

## Properties
* calculated density: 6.845 g/cm³
* V: 202.81 Å³/cell
* DFT total energy: -4.97 eV/atom

```
data_Pr2CuGe
_cell_length_a 4.261
_cell_length_b 7.845
_cell_length_c 6.067
_cell_angle_alpha 90.00
_cell_angle_beta 90.00
_cell_angle_gamma 90.00
_space_group_name_H-M_alt 'P m n 21'
_space_group_IT_number 31
_space_group_name_Hall 'P 2ac -2'
loop_
_atom_site_label
_atom_site_type_symbol
_atom_site_fract_x
_atom_site_fract_y
_atom_site_fract_z
Pr1 Pr 0.000 0.061 0.000
Pr2 Pr 0.000 0.588 0.227
Cu1 Cu 0.000 0.218 0.465
Ge1 Ge 0.000 0.703 0.725
```